Entry 1:
A plane-wave DFT calculation with PBE was carried out for a relaxed Cs2ZnPdCl6 crystal.

## Properties
The value obtained for the density of states at the Fermi level is 2.11 states/eV/cell.

a b c (Å): 7.2974 7.2974 7.2974
angles (deg): 121.09 121.09 88.12
Atoms (fractional coordinates):
Cs  0.2500  0.7500  0.5000
Cs  0.7500  0.2500  0.5000
Zn  0.0000  0.0000  0.0000
Pd  0.5000  0.5000  0.0000
Cl  0.2389  0.2389  0.4779
Cl  0.2389  0.7611  0.0000
Cl  0.2726  0.2726  0.0000
Cl  0.7274  0.7274  0.0000
Cl  0.7611  0.2389  0.0000
Cl  0.7611  0.7611  0.5221


Entry 2:
A plane-wave DFT calculation with PBE was carried out for a relaxed Cs2ZrPdCl6 crystal.

## Properties
The value obtained for the density of states at the Fermi level is 0.00 states/eV/cell.

a b c (Å): 7.5040 7.5040 7.5040
angles (deg): 114.65 114.65 99.54
Atoms (fractional coordinates):
Cs  0.2500  0.7500  0.5000
Cs  0.7500  0.2500  0.5000
Zr  0.0000  0.0000  0.0000
Pd  0.5000  0.5000  0.0000
Cl  0.2195  0.2195  0.4390
Cl  0.2195  0.7805  0.0000
Cl  0.2570  0.2570  0.0000
Cl  0.7430  0.7430  0.0000
Cl  0.7805  0.2195  0.0000
Cl  0.7805  0.7805  0.5610


Entry 3:
A plane-wave DFT calculation with PBE was carried out for a relaxed CsZrPdCl6 crystal.

a b c (Å): 6.6238 7.0152 7.4217
angles (deg): 87.33 65.60 83.56
Atoms (fractional coordinates):
Cs  0.0000  0.0000  0.0000
Zr  0.2910  0.5679  0.3582
Pd  0.7766  0.5609  0.5094
Cl  0.0312  0.3629  0.6252
Cl  0.2619  0.3809  0.1038
Cl  0.4137  0.7488  0.5858
Cl  0.5054  0.7797  0.0898
Cl  0.6054  0.3317  0.3723
Cl  0.9787  0.8382  0.4844


Entry 4:
A plane-wave DFT calculation with PBE was carried out for a relaxed Cs2PmCl6 crystal.

## Properties
The value obtained for the density of states at the Fermi level is 5.22 states/eV/cell.

a b c (Å): 9.1214 9.1214 5.0407
angles (deg): 102.08 102.08 54.55
Atoms (fractional coordinates):
Cs  0.1676  0.1676  0.1599
Cs  0.8324  0.8324  0.8401
Pm  0.5000  0.5000  0.5000
Cl  0.1519  0.5739  0.3642
Cl  0.3086  0.6914  0.0000
Cl  0.4261  0.8481  0.6358
Cl  0.5739  0.1519  0.3642
Cl  0.6914  0.3086  0.0000
Cl  0.8481  0.4261  0.6358


Entry 5:
A plane-wave DFT calculation with PBE was carried out for a relaxed Cs3Pm2Cl8 crystal.

a b c (Å): 8.9336 8.9336 10.6047
angles (deg): 124.47 124.47 61.95
Atoms (fractional coordinates):
Cs  0.0000  0.0000  0.0000
Cs  0.2203  0.2203  0.6126
Cs  0.7797  0.7797  0.3874
Pm  0.4574  0.4574  0.2912
Pm  0.5426  0.5426  0.7088
Cl  0.2103  0.6887  0.7205
Cl  0.2606  0.2606  0.9688
Cl  0.3113  0.7897  0.2795
Cl  0.3174  0.3174  0.3666
Cl  0.6826  0.6826  0.6334
Cl  0.6887  0.2103  0.7205
Cl  0.7394  0.7394  0.0312
Cl  0.7897  0.3113  0.2795


Entry 6:
A plane-wave DFT calculation with PBE was carried out for a relaxed Cs2PmCl4 crystal.

## Properties
The value obtained for the density of states at the Fermi level is 2.75 states/eV/cell.

a b c (Å): 8.7492 14.8481 3.9654
angles (deg): 90.00 90.00 90.00
Atoms (fractional coordinates):
Cs  0.0722  0.1674  0.0000
Cs  0.4278  0.6674  0.0000
Cs  0.5722  0.3326  0.0000
Cs  0.9278  0.8326  0.0000
Pm  0.0000  0.5000  0.5000
Pm  0.5000  0.0000  0.5000
Cl  0.1078  0.6770  0.5000
Cl  0.2324  0.4572  0.0000
Cl  0.2676  0.9572  0.0000
Cl  0.3922  0.1770  0.5000
Cl  0.6078  0.8230  0.5000
Cl  0.7324  0.0428  0.0000
Cl  0.7676  0.5428  0.0000
Cl  0.8922  0.3230  0.5000


Entry 7:
A plane-wave DFT calculation with PBE was carried out for a relaxed CsPm2Cl8 crystal.

## Properties
The value obtained for the density of states at the Fermi level is 4.94 states/eV/cell.

a b c (Å): 7.2104 7.2104 8.7781
angles (deg): 99.74 99.74 72.80
Atoms (fractional coordinates):
Cs  0.0000  0.0000  0.0000
Pm  0.3224  0.3224  0.5373
Pm  0.6776  0.6776  0.4627
Cl  0.0404  0.6582  0.6523
Cl  0.2321  0.2321  0.7980
Cl  0.3418  0.9596  0.3477
Cl  0.4437  0.4437  0.3003
Cl  0.5563  0.5563  0.6997
Cl  0.6582  0.0404  0.6523
Cl  0.7679  0.7679  0.2020
Cl  0.9596  0.3418  0.3477


Entry 8:
A plane-wave DFT calculation with PBE was carried out for a relaxed Cs2Pm3Cl10 crystal.

## Properties
The value obtained for the density of states at the Fermi level is 3.97 states/eV/cell.

a b c (Å): 13.4708 13.4708 11.1133
angles (deg): 110.91 110.91 33.24
Atoms (fractional coordinates):
Cs  0.1168  0.1168  0.2303
Cs  0.2205  0.2205  0.8349
Cs  0.7795  0.7795  0.1651
Cs  0.8832  0.8832  0.7697
Pm  0.2427  0.7573  0.5000
Pm  0.3231  0.3231  0.4770
Pm  0.4209  0.4209  0.0257
Pm  0.5791  0.5791  0.9743
Pm  0.6769  0.6769  0.5230
Pm  0.7573  0.2427  0.5000
Cl  0.0000  0.5000  0.5000
Cl  0.0179  0.0179  0.6973
Cl  0.0985  0.6009  0.0053
Cl  0.1111  0.6645  0.4688
Cl  0.2678  0.7322  0.0000
Cl  0.2724  0.2724  0.2254
Cl  0.3355  0.8889  0.5312
Cl  0.3761  0.3761  0.7488
Cl  0.3991  0.9015  0.9947
Cl  0.4719  0.4719  0.2933
Cl  0.5000  0.0000  0.5000
Cl  0.5281  0.5281  0.7067
Cl  0.6009  0.0985  0.0053
Cl  0.6239  0.6239  0.2512
Cl  0.6645  0.1111  0.4688
Cl  0.7276  0.7276  0.7746
Cl  0.7322  0.2678  0.0000
Cl  0.8889  0.3355  0.5312
Cl  0.9015  0.3991  0.9947
Cl  0.9821  0.9821  0.3027


Entry 9:
A plane-wave DFT calculation with PBE was carried out for a relaxed CsPmCl2 crystal.

## Properties
The value obtained for the density of states at the Fermi level is 3.23 states/eV/cell.

a b c (Å): 10.7707 10.7707 10.7707
angles (deg): 20.63 20.63 20.63
Atoms (fractional coordinates):
Cs  0.0000  0.0000  0.0000
Pm  0.5000  0.5000  0.5000
Cl  0.1058  0.1058  0.1058
Cl  0.8942  0.8942  0.8942


Entry 10:
A plane-wave DFT calculation with PBE was carried out for a relaxed Cs3Pm2Cl9 crystal.

## Properties
The value obtained for the density of states at the Fermi level is 0.00 states/eV/cell.

a b c (Å): 10.0561 10.0561 10.0561
angles (deg): 85.00 85.00 85.00
Atoms (fractional coordinates):
Cs  0.0854  0.7500  0.4146
Cs  0.2500  0.5854  0.9146
Cs  0.4146  0.0854  0.7500
Cs  0.5854  0.9146  0.2500
Cs  0.7500  0.4146  0.0854
Cs  0.9146  0.2500  0.5854
Pm  0.1461  0.1461  0.1461
Pm  0.3539  0.3539  0.3539
Pm  0.6461  0.6461  0.6461
Pm  0.8539  0.8539  0.8539
Cl  0.0778  0.2672  0.9155
Cl  0.0845  0.9222  0.7328
Cl  0.0992  0.4008  0.2500
Cl  0.2328  0.4222  0.5845
Cl  0.2500  0.0992  0.4008
Cl  0.2672  0.9155  0.0778
Cl  0.4008  0.2500  0.0992
Cl  0.4155  0.7672  0.5778
Cl  0.4222  0.5845  0.2328
Cl  0.5778  0.4155  0.7672
Cl  0.5845  0.2328  0.4222
Cl  0.5992  0.7500  0.9008
Cl  0.7328  0.0845  0.9222
Cl  0.7500  0.9008  0.5992
Cl  0.7672  0.5778  0.4155
Cl  0.9008  0.5992  0.7500
Cl  0.9155  0.0778  0.2672
Cl  0.9222  0.7328  0.0845


Entry 11:
A plane-wave DFT calculation with PBE was carried out for a relaxed CsPm2Cl6 crystal.

## Properties
The value obtained for the density of states at the Fermi level is 4.99 states/eV/cell.

a b c (Å): 7.0885 7.0885 8.0695
angles (deg): 90.00 90.00 120.00
Atoms (fractional coordinates):
Cs  0.0000  0.0000  0.0000
Pm  0.3333  0.6667  0.5000
Pm  0.6667  0.3333  0.5000
Cl  0.0000  0.3648  0.7013
Cl  0.0000  0.6352  0.2987
Cl  0.3648  0.0000  0.7013
Cl  0.3648  0.3648  0.2987
Cl  0.6352  0.0000  0.2987
Cl  0.6352  0.6352  0.7013


Entry 12:
A plane-wave DFT calculation with PBE was carried out for a relaxed CsPm2Cl8 crystal.

## Properties
The value obtained for the density of states at the Fermi level is 5.56 states/eV/cell.

a b c (Å): 8.2974 8.2974 5.3458
angles (deg): 90.00 90.00 117.56
Atoms (fractional coordinates):
Cs  0.0000  0.0000  0.0000
Pm  0.3021  0.6979  0.5000
Pm  0.6979  0.3021  0.5000
Cl  0.0546  0.3316  0.5000
Cl  0.2636  0.7364  0.0000
Cl  0.3316  0.0546  0.5000
Cl  0.5000  0.5000  0.2490
Cl  0.5000  0.5000  0.7510
Cl  0.6684  0.9454  0.5000
Cl  0.7364  0.2636  0.0000
Cl  0.9454  0.6684  0.5000


Entry 13:
A plane-wave DFT calculation with PBE was carried out for a relaxed CsPm4Cl12 crystal.

## Properties
The value obtained for the density of states at the Fermi level is 6.49 states/eV/cell.

a b c (Å): 9.2885 9.2885 9.2885
angles (deg): 109.47 109.47 109.47
Atoms (fractional coordinates):
Cs  0.0000  0.0000  0.0000
Pm  0.0000  0.0000  0.5000
Pm  0.0000  0.5000  0.0000
Pm  0.5000  0.0000  0.0000
Pm  0.5000  0.5000  0.5000
Cl  0.0764  0.7952  0.2812
Cl  0.2048  0.2812  0.4861
Cl  0.2048  0.7188  0.9236
Cl  0.2812  0.0764  0.7952
Cl  0.2812  0.4861  0.2048
Cl  0.4861  0.2048  0.2812
Cl  0.5139  0.7952  0.7188
Cl  0.7188  0.5139  0.7952
Cl  0.7188  0.9236  0.2048
Cl  0.7952  0.2812  0.0764
Cl  0.7952  0.7188  0.5139
Cl  0.9236  0.2048  0.7188


Entry 14:
A plane-wave DFT calculation with PBE was carried out for a relaxed Cs2PmCl4 crystal.

## Properties
The value obtained for the density of states at the Fermi level is 3.15 states/eV/cell.

a b c (Å): 9.5849 9.5849 9.5849
angles (deg): 146.56 146.56 48.02
Atoms (fractional coordinates):
Cs  0.1414  0.1414  0.0000
Cs  0.8586  0.8586  0.0000
Pm  0.5000  0.5000  0.0000
Cl  0.0000  0.5000  0.5000
Cl  0.3392  0.3392  0.0000
Cl  0.5000  0.0000  0.5000
Cl  0.6608  0.6608  0.0000


Entry 15:
A plane-wave DFT calculation with PBE was carried out for a relaxed Cs4PmCl7 crystal.

## Properties
The value obtained for the density of states at the Fermi level is 0.00 states/eV/cell.

a b c (Å): 9.1637 9.1637 14.4303
angles (deg): 124.68 124.68 33.76
Atoms (fractional coordinates):
Cs  0.1317  0.1317  0.2333
Cs  0.3604  0.3604  0.1368
Cs  0.6396  0.6396  0.8632
Cs  0.8683  0.8683  0.7667
Pm  0.0000  0.0000  0.5000
Cl  0.1154  0.1154  0.9846
Cl  0.1658  0.1658  0.7013
Cl  0.4048  0.4048  0.6398
Cl  0.5000  0.5000  0.5000
Cl  0.5952  0.5952  0.3602
Cl  0.8342  0.8342  0.2987
Cl  0.8846  0.8846  0.0154


Entry 16:
A plane-wave DFT calculation with PBE was carried out for a relaxed CsPmPuCl6 crystal.

## Properties
The value obtained for the density of states at the Fermi level is 33.34 states/eV/cell.

a b c (Å): 10.1604 10.1604 10.1604
angles (deg): 121.55 119.16 89.40
Atoms (fractional coordinates):
Cs  0.3318  0.0818  0.2500
Cs  0.6682  0.9182  0.7500
Pm  0.0000  0.5000  0.5000
Pm  0.5000  0.5000  0.0000
Pu  0.0000  0.0000  0.5000
Pu  0.0000  0.5000  0.0000
Cl  0.0799  0.4202  0.2530
Cl  0.0799  0.8269  0.6597
Cl  0.0894  0.8394  0.2500
Cl  0.3173  0.5673  0.7500
Cl  0.3328  0.1731  0.7530
Cl  0.3328  0.5798  0.1597
Cl  0.6672  0.4202  0.8403
Cl  0.6672  0.8269  0.2470
Cl  0.6827  0.4327  0.2500
Cl  0.9106  0.1606  0.7500
Cl  0.9201  0.1731  0.3403
Cl  0.9201  0.5798  0.7470


Entry 17:
A plane-wave DFT calculation with PBE was carried out for a relaxed Cs2RbPmCl6 crystal.

## Properties
The value obtained for the density of states at the Fermi level is 0.00 states/eV/cell.

a b c (Å): 8.0592 8.4077 14.0219
angles (deg): 90.00 124.72 90.00
Atoms (fractional coordinates):
Cs  0.2285  0.0599  0.2477
Cs  0.2285  0.4401  0.7477
Cs  0.7715  0.5599  0.2523
Cs  0.7715  0.9401  0.7523
Rb  0.0000  0.0000  0.5000
Rb  0.0000  0.5000  0.0000
Pm  0.5000  0.0000  0.0000
Pm  0.5000  0.5000  0.5000
Cl  0.1830  0.1827  0.9559
Cl  0.1830  0.3173  0.4559
Cl  0.2675  0.7323  0.9446
Cl  0.2675  0.7677  0.4446
Cl  0.3689  0.0346  0.7736
Cl  0.3689  0.4654  0.2736
Cl  0.6311  0.5346  0.7264
Cl  0.6311  0.9654  0.2264
Cl  0.7325  0.2323  0.5554
Cl  0.7325  0.2677  0.0554
Cl  0.8170  0.6827  0.5441
Cl  0.8170  0.8173  0.0441


Entry 18:
A plane-wave DFT calculation with PBE was carried out for a relaxed Cs2PmS2Cl2 crystal.

## Properties
The value obtained for the density of states at the Fermi level is 3.96 states/eV/cell.

a b c (Å): 9.7354 9.7354 9.7354
angles (deg): 147.39 147.39 46.79
Atoms (fractional coordinates):
Cs  0.1458  0.1458  0.0000
Cs  0.8542  0.8542  0.0000
Pm  0.5000  0.5000  0.0000
S  0.0000  0.5000  0.5000
S  0.5000  0.0000  0.5000
Cl  0.3425  0.3425  0.0000
Cl  0.6575  0.6575  0.0000


Entry 19:
A plane-wave DFT calculation with PBE was carried out for a relaxed Cs2PmSe2Cl2 crystal.

## Properties
The value obtained for the density of states at the Fermi level is 7.29 states/eV/cell.

a b c (Å): 9.7873 9.7873 9.7873
angles (deg): 146.30 146.30 48.40
Atoms (fractional coordinates):
Cs  0.1483  0.1483  0.0000
Cs  0.8517  0.8517  0.0000
Pm  0.5000  0.5000  0.0000
Se  0.0000  0.5000  0.5000
Se  0.5000  0.0000  0.5000
Cl  0.3429  0.3429  0.0000
Cl  0.6571  0.6571  0.0000


no.,volume (A^3/atom),formation energy from raw total energies (eV per formula unit)
1,27.010,-12.1
2,31.814,-15.7
3,34.677,-13.2
4,36.893,-16.4
5,43.156,-26.3
6,36.796,-13.5
7,38.748,-21.5
8,34.193,-32.3
9,33.949,-5.5
10,35.926,-30.8
11,39.016,-19.0
12,29.662,-22.4
13,36.289,-36.9
14,38.045,-13.6
15,45.124,-22.5
16,40.957,-18.1
17,39.048,-21.6
18,38.146,-11.7
19,41.053,-11.6